First-principles (PBE) data for crystalline Be2TcSb at its relaxed geometry, as listed in Alexandria.

Output
Theoretical density: 7.26 g/cm³
Final energy: -5.21 eV per atom
N(E_F): 1.64 states/eV per cell
Size of the total moment: 0.0 μB/f.u.
Space-group type: Immm
Crystal system: orthorhombic

```
4
Lattice="-1.7288 2.0211 3.8906 1.7288 -2.0211 3.8906 1.7288 2.0211 -3.8906" Properties=species:S:1:pos:R:3 pbc="T T T"
Be 0.0000 0.0000 1.8931
Be 0.0000 0.0000 5.8881
Tc 1.7288 0.0000 0.0000
Sb 0.0000 2.0211 0.0000
```